Record 1
Entry from Alexandria via LeMat-Bulk: a relaxed Li4TlBi2 crystal (GGA-PBE). Values from VASP.

The structure in Quantum ESPRESSO input format:
```
&SYSTEM
  ibrav = 0, nat = 14, ntyp = 3
/
ATOMIC_SPECIES
Li 6.94 Li.upf
Tl 204.38 Tl.upf
Bi 208.98 Bi.upf
CELL_PARAMETERS angstrom
4.936 0.000 0.000
0.000 4.936 0.000
0.000 0.000 15.107
ATOMIC_POSITIONS crystal
Li 0.000 0.000 0.188
Li 0.000 0.000 0.812
Li 0.000 0.500 0.000
Li 0.000 0.500 0.500
Li 0.500 0.000 0.000
Li 0.500 0.000 0.500
Li 0.500 0.500 0.312
Li 0.500 0.500 0.688
Tl 0.000 0.000 0.000
Tl 0.500 0.500 0.500
Bi 0.000 0.000 0.381
Bi 0.000 0.000 0.619
Bi 0.500 0.500 0.119
Bi 0.500 0.500 0.881
```

Calculated values
The energy of formation comes out at -57 meV/atom. As for the polymorph energy (0 for the lowest one): 161 meV per atom. As for the crystal system: tetragonal. The calculation puts the total magnetization at 0.0 μB per cell.

Record 2
Entry from Alexandria via LeMat-Bulk: a relaxed Zn2Ge2H crystal (GGA-PBE). Values from VASP.

The structure in Quantum ESPRESSO input format:
```
&SYSTEM
  ibrav = 0, nat = 10, ntyp = 3
/
ATOMIC_SPECIES
Zn 65.41 Zn.upf
Ge 72.64 Ge.upf
H 1.01 H.upf
CELL_PARAMETERS angstrom
7.941 0.000 0.000
0.000 7.941 0.000
0.000 0.000 2.722
ATOMIC_POSITIONS crystal
Zn 0.155 0.345 0.000
Zn 0.345 0.845 0.000
Zn 0.655 0.155 0.000
Zn 0.845 0.655 0.000
Ge 0.144 0.644 0.500
Ge 0.356 0.144 0.500
Ge 0.644 0.856 0.500
Ge 0.856 0.356 0.500
H 0.000 0.000 0.000
H 0.500 0.500 0.000
```

Calculated values
Its uncorrected energy is -2.463 eV per atom. As for the crystal system: tetragonal. The calculation puts the total magnetization at 0.5 μB per cell.

Record 3
Entry from Alexandria via LeMat-Bulk: a relaxed Sm6AlPb crystal (GGA-PBE). Values from VASP.

The structure in Quantum ESPRESSO input format:
```
&SYSTEM
  ibrav = 0, nat = 8, ntyp = 3
/
ATOMIC_SPECIES
Sm 150.36 Sm.upf
Al 26.98 Al.upf
Pb 207.20 Pb.upf
CELL_PARAMETERS angstrom
4.898 0.000 0.000
0.000 4.898 0.000
0.000 0.000 9.786
ATOMIC_POSITIONS crystal
Sm 0.000 0.000 0.000
Sm 0.000 0.000 0.500
Sm 0.000 0.500 0.243
Sm 0.000 0.500 0.757
Sm 0.500 0.000 0.243
Sm 0.500 0.000 0.757
Al 0.500 0.500 0.000
Pb 0.500 0.500 0.500
```

Calculated values
The energy of formation comes out at -253 meV/atom. As for the crystal system: tetragonal. The calculation puts the total magnetization at 0.0 μB per cell.

Record 4
Entry from Alexandria via LeMat-Bulk: a relaxed SrCaLa2 crystal (GGA-PBE). Values from VASP.

The structure in Quantum ESPRESSO input format:
```
&SYSTEM
  ibrav = 0, nat = 4, ntyp = 3
/
ATOMIC_SPECIES
Sr 87.62 Sr.upf
Ca 40.08 Ca.upf
La 138.91 La.upf
CELL_PARAMETERS angstrom
4.287 0.000 0.000
0.000 4.287 0.000
0.000 0.000 9.224
ATOMIC_POSITIONS crystal
Sr 0.000 0.000 0.000
Ca 0.000 0.000 0.500
La 0.500 0.500 0.282
La 0.500 0.500 0.718
```

Calculated values
The energy of formation comes out at 145 meV/atom. As for the polymorph energy (0 for the lowest one): 101 meV per atom. As for the crystal system: tetragonal. The calculation puts the total magnetization at 0.0 μB per cell.

Record 5
Entry from Alexandria via LeMat-Bulk: a relaxed SiOs2Br crystal (GGA-PBE). Values from VASP.

The structure in Quantum ESPRESSO input format:
```
&SYSTEM
  ibrav = 0, nat = 12, ntyp = 3
/
ATOMIC_SPECIES
Si 28.09 Si.upf
Os 190.23 Os.upf
Br 79.90 Br.upf
CELL_PARAMETERS angstrom
2.919 0.000 0.000
-1.460 2.528 0.000
0.000 0.000 24.702
ATOMIC_POSITIONS crystal
Si 0.000 0.000 0.000
Si 0.333 0.667 0.667
Si 0.667 0.333 0.333
Os 0.000 0.000 0.259
Os 0.000 0.000 0.741
Os 0.333 0.667 0.408
Os 0.333 0.667 0.926
Os 0.667 0.333 0.074
Os 0.667 0.333 0.592
Br 0.000 0.000 0.500
Br 0.333 0.667 0.167
Br 0.667 0.333 0.833
```

Calculated values
The value obtained for the formation energy without anion corrections is 0.5539 eV/atom. As for the polymorph energy (0 for the lowest one): 87 meV per atom. As for the crystal system: trigonal. The calculation puts the total magnetization at 0.0 μB per cell.

Record 6
Entry from Alexandria via LeMat-Bulk: a relaxed SrPW2 crystal (GGA-PBE). Values from VASP.

The structure in Quantum ESPRESSO input format:
```
&SYSTEM
  ibrav = 0, nat = 8, ntyp = 3
/
ATOMIC_SPECIES
Sr 87.62 Sr.upf
P 30.97 P.upf
W 183.84 W.upf
CELL_PARAMETERS angstrom
3.467 0.000 0.000
0.000 4.840 0.000
0.000 0.000 8.928
ATOMIC_POSITIONS crystal
Sr 0.000 0.000 0.000
Sr 0.500 0.500 0.000
P 0.000 0.000 0.500
P 0.500 0.500 0.500
W 0.000 0.500 0.313
W 0.000 0.500 0.687
W 0.500 0.000 0.313
W 0.500 0.000 0.687
```

Calculated values
The energy of formation comes out at 722 meV/atom. As for the crystal system: orthorhombic. The calculation puts the total magnetization at 0.0 μB per cell.

Record 7
Entry from Alexandria via LeMat-Bulk: a relaxed MgGa3Sn crystal (GGA-PBE). Values from VASP.

The structure in Quantum ESPRESSO input format:
```
&SYSTEM
  ibrav = 0, nat = 5, ntyp = 3
/
ATOMIC_SPECIES
Mg 24.30 Mg.upf
Ga 69.72 Ga.upf
Sn 118.71 Sn.upf
CELL_PARAMETERS angstrom
5.096 0.000 0.000
0.000 5.096 0.000
0.000 0.000 5.096
ATOMIC_POSITIONS crystal
Mg 0.000 0.000 0.000
Ga 0.000 0.000 0.500
Ga 0.000 0.500 0.000
Ga 0.500 0.000 0.000
Sn 0.500 0.500 0.500
```

Calculated values
The energy of formation comes out at 431 meV/atom. As for the polymorph energy (0 for the lowest one): 435 meV per atom. As for the crystal system: cubic. The calculation puts the total magnetization at 0.0 μB per cell.

Record 8
Entry from Alexandria via LeMat-Bulk: a relaxed Ba2In4Ga3Au crystal (GGA-PBE). Values from VASP.

The structure in Quantum ESPRESSO input format:
```
&SYSTEM
  ibrav = 0, nat = 10, ntyp = 4
/
ATOMIC_SPECIES
Ba 137.33 Ba.upf
In 114.82 In.upf
Ga 69.72 Ga.upf
Au 196.97 Au.upf
CELL_PARAMETERS angstrom
4.863 0.000 0.000
0.000 4.863 0.000
0.000 0.000 11.495
ATOMIC_POSITIONS crystal
Ba 0.000 0.500 0.243
Ba 0.500 0.000 0.757
In 0.000 0.000 0.500
In 0.000 0.500 0.876
In 0.500 0.000 0.124
In 0.500 0.500 0.500
Ga 0.000 0.000 0.000
Ga 0.000 0.500 0.636
Ga 0.500 0.000 0.364
Au 0.500 0.500 0.000
```

Calculated values
The energy of formation comes out at -417 meV/atom. As for the crystal system: tetragonal. The calculation puts the total magnetization at 0.0 μB per cell.

Record 9
Entry from Alexandria via LeMat-Bulk: a relaxed Tb2Al4SiAu3 crystal (GGA-PBE). Values from VASP.

The structure in Quantum ESPRESSO input format:
```
&SYSTEM
  ibrav = 0, nat = 10, ntyp = 4
/
ATOMIC_SPECIES
Tb 158.93 Tb.upf
Al 26.98 Al.upf
Si 28.09 Si.upf
Au 196.97 Au.upf
CELL_PARAMETERS angstrom
4.282 0.000 0.000
0.000 4.282 0.000
0.000 0.000 10.643
ATOMIC_POSITIONS crystal
Tb 0.000 0.500 0.243
Tb 0.500 0.000 0.757
Al 0.000 0.000 0.500
Al 0.000 0.500 0.866
Al 0.500 0.000 0.134
Al 0.500 0.500 0.500
Si 0.500 0.500 0.000
Au 0.000 0.000 0.000
Au 0.000 0.500 0.636
Au 0.500 0.000 0.364
```

Calculated values
The value obtained for the formation energy without anion corrections is -0.6374 eV/atom. As for the crystal system: tetragonal. The calculation puts the total magnetization at 0.0 μB per cell.

Record 10
Entry from Alexandria via LeMat-Bulk: a relaxed BaNd5Tl3 crystal (GGA-PBE). Values from VASP.

The structure in Quantum ESPRESSO input format:
```
&SYSTEM
  ibrav = 0, nat = 18, ntyp = 3
/
ATOMIC_SPECIES
Ba 137.33 Ba.upf
Nd 144.24 Nd.upf
Tl 204.38 Tl.upf
CELL_PARAMETERS angstrom
9.764 0.000 0.000
-4.882 8.456 0.000
0.000 0.000 7.136
ATOMIC_POSITIONS crystal
Ba 0.000 0.000 0.000
Ba 0.000 0.000 0.500
Nd 0.000 0.339 0.250
Nd 0.000 0.661 0.750
Nd 0.333 0.667 0.000
Nd 0.333 0.667 0.500
Nd 0.339 0.000 0.250
Nd 0.339 0.339 0.750
Nd 0.661 0.000 0.750
Nd 0.661 0.661 0.250
Nd 0.667 0.333 0.000
Nd 0.667 0.333 0.500
Tl 0.000 0.336 0.750
Tl 0.000 0.664 0.250
Tl 0.336 0.000 0.750
Tl 0.336 0.336 0.250
Tl 0.664 0.000 0.250
Tl 0.664 0.664 0.750
```

Calculated values
The energy of formation comes out at -228 meV/atom. As for the crystal system: hexagonal. The calculation puts the total magnetization at 2.2 μB per cell.

Record 11
Entry from Alexandria via LeMat-Bulk: a relaxed KRbCu3 crystal (GGA-PBE). Values from VASP.

The structure in Quantum ESPRESSO input format:
```
&SYSTEM
  ibrav = 0, nat = 5, ntyp = 3
/
ATOMIC_SPECIES
K 39.10 K.upf
Rb 85.47 Rb.upf
Cu 63.55 Cu.upf
CELL_PARAMETERS angstrom
5.843 0.000 0.000
0.000 5.843 0.000
0.000 0.000 5.843
ATOMIC_POSITIONS crystal
K 0.000 0.000 0.000
Rb 0.500 0.500 0.500
Cu 0.000 0.000 0.500
Cu 0.000 0.500 0.000
Cu 0.500 0.000 0.000
```

Calculated values
The energy of formation comes out at 1072 meV/atom. As for the polymorph energy (0 for the lowest one): 0 meV per atom. As for the crystal system: cubic. The calculation puts the total magnetization at 0.0 μB per cell.